Record 1
Here is a relaxed structure of DyThBiTe from Alexandria via LeMat-Bulk. Energies are from PBE.

CIF file:
```
data_DyThBiTe
_chemical_formula_sum 'Dy1 Th1 Bi1 Te1'
_symmetry_space_group_name_H-M 'P 4/m m m'
_symmetry_Int_Tables_number 123
_symmetry_space_group_name_Hall '-P 4 2'
_cell_length_a 4.470
_cell_length_b 4.470
_cell_length_c 6.372
_cell_angle_alpha 90.00
_cell_angle_beta 90.00
_cell_angle_gamma 90.00
loop_
_atom_site_label
_atom_site_fract_x
_atom_site_fract_y
_atom_site_fract_z
Dy1 0.000 0.000 0.000
Th1 0.500 0.500 0.500
Bi1 0.500 0.500 0.000
Te1 0.000 0.000 0.500
```

## Properties
ΔE_f (raw): -0.920 eV/atom
Electronic total energy: -5.6811 eV/atom
Offset from the most stable computed form: 0 meV per atom
Density of states at the Fermi level: 0.722 states/eV/atom

***

Record 2
Here is a relaxed structure of DyAl3Ni2 from Alexandria via LeMat-Bulk. Energies are from PBE.

CIF file:
```
data_DyAl3Ni2
_chemical_formula_sum 'Dy3 Al9 Ni6'
_symmetry_space_group_name_H-M 'P 6/m m m'
_symmetry_Int_Tables_number 191
_symmetry_space_group_name_Hall '-P 6 2'
_cell_length_a 9.0253
_cell_length_b 9.0253
_cell_length_c 4.0698
_cell_angle_alpha 90.00
_cell_angle_beta 90.00
_cell_angle_gamma 120.00
loop_
_atom_site_label
_atom_site_fract_x
_atom_site_fract_y
_atom_site_fract_z
Dy1 0.0000 0.0000 0.0000
Dy2 0.3333 0.6667 0.5000
Al1 0.0000 0.2967 0.5000
Al2 0.0000 0.5000 0.0000
Ni1 0.1820 0.3639 0.0000
```

## Properties
Electronic total energy: -5.2226 eV/atom
Formation enthalpy at 0 K: -0.657 eV/atom
Density of states at the Fermi level: 0.411 states/eV/atom

***

Record 3
Here is a relaxed structure of Mg2ScSb from Alexandria via LeMat-Bulk. Energies are from PBE.

CIF file:
```
data_Mg2ScSb
_chemical_formula_sum 'Mg8 Sc4 Sb4'
_symmetry_space_group_name_H-M 'F -4 3 m'
_symmetry_Int_Tables_number 216
_symmetry_space_group_name_Hall 'F -4 2 3'
_cell_length_a 7.212
_cell_length_b 7.212
_cell_length_c 7.212
_cell_angle_alpha 90.00
_cell_angle_beta 90.00
_cell_angle_gamma 90.00
loop_
_atom_site_label
_atom_site_fract_x
_atom_site_fract_y
_atom_site_fract_z
Mg1 0.000 0.000 0.000
Mg2 0.250 0.250 0.250
Sc1 0.250 0.250 0.750
Sb1 0.000 0.000 0.500
```

## Properties
ΔE_f (raw): -0.126 eV/atom
Electronic total energy: -3.5369 eV/atom
Density of states at the Fermi level: 1.527 states/eV/atom

***

Record 4
Here is a relaxed structure of Na2MgIn9 from Alexandria via LeMat-Bulk. Energies are from PBE.

CIF file:
```
data_Na2MgIn9
_chemical_formula_sum 'Na2 Mg1 In9'
_symmetry_space_group_name_H-M 'P 4/m m m'
_symmetry_Int_Tables_number 123
_symmetry_space_group_name_Hall '-P 4 2'
_cell_length_a 4.733
_cell_length_b 4.733
_cell_length_c 13.899
_cell_angle_alpha 90.00
_cell_angle_beta 90.00
_cell_angle_gamma 90.00
loop_
_atom_site_label
_atom_site_fract_x
_atom_site_fract_y
_atom_site_fract_z
Na1 0.000 0.000 0.169
Mg1 0.000 0.000 0.500
In1 0.000 0.500 0.000
In2 0.000 0.500 0.338
In3 0.500 0.500 0.169
In4 0.500 0.500 0.500
```

## Properties
Electronic total energy: -2.4741 eV/atom
Formation enthalpy at 0 K: -0.068 eV/atom
Density of states at the Fermi level: 0.457 states/eV/atom

***

Record 5
Here is a relaxed structure of PrTh2Al9 from Alexandria via LeMat-Bulk. Energies are from PBE.

CIF file:
```
data_PrTh2Al9
_chemical_formula_sum 'Pr3 Th6 Al27'
_symmetry_space_group_name_H-M 'R -3 m'
_symmetry_Int_Tables_number 166
_symmetry_space_group_name_Hall '-R 3 2"'
_cell_length_a 5.6949
_cell_length_b 5.6949
_cell_length_c 26.6633
_cell_angle_alpha 90.00
_cell_angle_beta 90.00
_cell_angle_gamma 120.00
loop_
_atom_site_label
_atom_site_fract_x
_atom_site_fract_y
_atom_site_fract_z
Pr1 0.0000 0.0000 0.0000
Th1 0.0000 0.0000 0.1424
Al1 0.0000 0.0000 0.3353
Al2 0.0000 0.0000 0.5000
Al3 0.0071 0.5035 0.9169
```

## Properties
Electronic total energy: -4.7796 eV/atom
Formation enthalpy at 0 K: -0.338 eV/atom
Density of states at the Fermi level: 0.577 states/eV/atom

***

Record 6
Here is a relaxed structure of Pr2MnNi16 from Alexandria via LeMat-Bulk. Energies are from PBE.

CIF file:
```
data_Pr2MnNi16
_chemical_formula_sum 'Pr6 Mn3 Ni48'
_symmetry_space_group_name_H-M 'R 3 m'
_symmetry_Int_Tables_number 160
_symmetry_space_group_name_Hall 'R 3 -2"'
_cell_length_a 8.3982
_cell_length_b 8.3982
_cell_length_c 12.2301
_cell_angle_alpha 90.00
_cell_angle_beta 90.00
_cell_angle_gamma 120.00
loop_
_atom_site_label
_atom_site_fract_x
_atom_site_fract_y
_atom_site_fract_z
Pr1 0.0000 0.0000 0.0000
Pr2 0.0000 0.0000 0.3143
Mn1 0.0000 0.0000 0.5667
Ni1 0.0000 0.0000 0.7583
Ni2 0.0001 0.2919 0.6596
Ni3 0.0004 0.5002 0.1588
Ni4 0.0042 0.5021 0.5034
Ni5 0.1684 0.3369 0.1491
```

## Properties
Electronic total energy: -6.0287 eV/atom
Formation enthalpy at 0 K: -0.175 eV/atom
Density of states at the Fermi level: 1.181 states/eV/atom

***

Record 7
Here is a relaxed structure of NdMgPdAu from Alexandria via LeMat-Bulk. Energies are from PBE.

CIF file:
```
data_NdMgPdAu
_chemical_formula_sum 'Nd2 Mg2 Pd2 Au2'
_symmetry_space_group_name_H-M 'C 1 m 1'
_symmetry_Int_Tables_number 8
_cell_length_a 8.090
_cell_length_b 4.664
_cell_length_c 5.377
_cell_angle_alpha 90.00
_cell_angle_beta 119.96
_cell_angle_gamma 90.00
loop_
_symmetry_equiv_pos_as_xyz
'x,y,z'
'x,-y,z'
'x+1/2,y+1/2,z'
'x+1/2,-y+1/2,z'
loop_
_atom_site_label
_atom_site_fract_x
_atom_site_fract_y
_atom_site_fract_z
Nd1 0.000 0.000 0.000
Mg1 0.004 0.500 0.513
Pd1 0.217 0.000 0.654
Au1 0.281 0.500 0.342
```

## Properties
Electronic total energy: -4.4508 eV/atom
Formation enthalpy at 0 K: -0.743 eV/atom
Density of states at the Fermi level: 0.498 states/eV/atom

***

Record 8
Here is a relaxed structure of La3RuAu from Alexandria via LeMat-Bulk. Energies are from PBE.

CIF file:
```
data_La3RuAu
_chemical_formula_sum 'La24 Ru8 Au8'
_symmetry_space_group_name_H-M 'C 1 2/c 1'
_symmetry_Int_Tables_number 15
_cell_length_a 12.721
_cell_length_b 10.213
_cell_length_c 9.122
_cell_angle_alpha 90.00
_cell_angle_beta 90.25
_cell_angle_gamma 90.00
loop_
_symmetry_equiv_pos_as_xyz
'x,y,z'
'-x,-y,-z'
'-x,y,-z+1/2'
'x,-y,z+1/2'
'x+1/2,y+1/2,z'
'-x+1/2,-y+1/2,-z'
'-x+1/2,y+1/2,-z+1/2'
'x+1/2,-y+1/2,z+1/2'
loop_
_atom_site_label
_atom_site_fract_x
_atom_site_fract_y
_atom_site_fract_z
La1 0.073 0.165 0.041
La2 0.098 0.435 0.611
La3 0.216 0.141 0.688
Ru1 0.000 0.140 0.750
Ru2 0.000 0.379 0.250
Au1 0.154 0.102 0.361
```

## Properties
Electronic total energy: -5.8434 eV/atom
Offset from the most stable computed form: 111 meV per atom
Formation enthalpy at 0 K: -0.376 eV/atom
Density of states at the Fermi level: 0.983 states/eV/atom